The following is a DFT calculation (PBE-GGA) of crystalline CoSi2W at its relaxed geometry.

Structure (CIF):
```
data_CoSi2W
_cell_length_a 2.8316
_cell_length_b 2.8316
_cell_length_c 23.2568
_cell_angle_alpha 90.00
_cell_angle_beta 90.00
_cell_angle_gamma 120.00
_space_group_name_H-M_alt 'P 1'
_space_group_IT_number 1
loop_
_space_group_symop_operation_xyz
'x,y,z'
loop_
_atom_site_label
_atom_site_fract_x
_atom_site_fract_y
_atom_site_fract_z
Co1 0.0000 0.0000 0.0000
Co2 0.3333 0.6667 0.6667
Co3 0.6667 0.3333 0.3333
Si1 0.0000 0.0000 0.2618
Si2 0.0000 0.0000 0.5109
Si3 0.3333 0.6667 0.1776
Si4 0.3333 0.6667 0.9285
Si5 0.6667 0.3333 0.5951
Si6 0.6667 0.3333 0.8443
W1 0.0000 0.0000 0.7558
W2 0.3333 0.6667 0.4224
W3 0.6667 0.3333 0.0891
```

Results
The density of states at the Fermi level comes out at 8.8 states/eV per cell. As for the total energy: -91.870 eV for the cell shown. For the volume, the calculation gives 161.5 Å³/cell. The value obtained for the energy above the most stable polymorph in this dataset is 1.054 eV/f.u. As for the formation energy from raw total energies: 0.07 eV/atom.

The following is a DFT calculation (PBE-GGA) of crystalline CoSi2W at its relaxed geometry.

Structure (CIF):
```
data_CoSi2W
_cell_length_a 2.7651
_cell_length_b 2.7651
_cell_length_c 23.6763
_cell_angle_alpha 90.00
_cell_angle_beta 90.00
_cell_angle_gamma 120.00
_space_group_name_H-M_alt 'P 1'
_space_group_IT_number 1
loop_
_space_group_symop_operation_xyz
'x,y,z'
loop_
_atom_site_label
_atom_site_fract_x
_atom_site_fract_y
_atom_site_fract_z
Co1 0.0000 0.0000 0.0000
Co2 0.3333 0.6667 0.6667
Co3 0.6667 0.3333 0.3333
Si1 0.0000 0.0000 0.2594
Si2 0.0000 0.0000 0.7406
Si3 0.3333 0.6667 0.4073
Si4 0.3333 0.6667 0.9260
Si5 0.6667 0.3333 0.0740
Si6 0.6667 0.3333 0.5927
W1 0.0000 0.0000 0.5000
W2 0.3333 0.6667 0.1667
W3 0.6667 0.3333 0.8333
```

Results
The density of states at the Fermi level comes out at 10.0 states/eV per cell. As for the total energy: -93.783 eV for the cell shown. For the volume, the calculation gives 156.8 Å³/cell. The value obtained for the energy above the most stable polymorph in this dataset is 0.416 eV/f.u. As for the formation energy from raw total energies: -0.09 eV/atom.